PrEuNbFeO6: optimized geometry, PBE+U.

Unit cell a=7.931 b=7.931 c=7.931 alpha=90.00 beta=90.00 gamma=90.00
Space group F-43m (No. 216)
Unique sites:
Pr1 0.000 0.000 0.000 [4 per cell]
Eu1 0.000 0.000 0.500 [4 per cell]
Nb1 0.250 0.250 0.750 [4 per cell]
Fe1 0.250 0.250 0.250 [4 per cell]
O1 0.001 0.250 0.250 [24 per cell]

Properties
As for the density of states at the Fermi level: 1.79 states/eV/cell. As for the energy: -0.622 Ry per atom. The value obtained for the total magnetization is 28.00 μB/cell.